Record 1
VASP calculation (PBE) on crystalline CsPdI2Br6 at its relaxed geometry.

Computed properties:
* E_form (uncorrected): -0.463 eV/atom
* E: -23.81 eV per cell
* volume: 47.8 Å³ per atom
* total moment: 1.0 μB/f.u.

Unit cell a=8.2934 b=8.3315 c=8.6134 alpha=116.23 beta=92.81 gamma=112.11
Fractional coordinates of all 10 atoms:
Cs: 0.0000 0.0000 0.0000
Pd: 0.5693 0.2993 0.8309
I: 0.4763 0.4823 0.4184
I: 0.9895 0.1221 0.5867
Br: 0.2644 0.0175 0.6207
Br: 0.4055 0.4546 0.0991
Br: 0.5326 0.5576 0.7701
Br: 0.5871 0.0582 0.9181
Br: 0.7009 0.1796 0.5325
Br: 0.8745 0.5480 0.0325

Record 2
VASP calculation (PBE) on crystalline YLu2In at its relaxed geometry.

Computed properties:
* offset from the most stable computed form: 20 meV per atom
* E: -19.18 eV per cell
* volume: 28.4 Å³ per atom
* total moment: 0.0 μB/f.u.
* calculated formation energy: -0.2346 eV per atom

Unit cell a=3.5519 b=3.5519 c=8.9906 alpha=90.00 beta=90.00 gamma=90.00
Fractional coordinates of all 4 atoms:
Y: 0.0000 0.0000 0.0000
Lu: 0.5000 0.5000 0.2735
Lu: 0.5000 0.5000 0.7265
In: 0.0000 0.0000 0.5000

Record 3
VASP calculation (PBE) on crystalline Sm7Cd2Pd2 at its relaxed geometry.

Computed properties:
* E: -48.10 eV per cell
* volume: 30.6 Å³ per atom
* total moment: 0.0 μB/f.u.
* calculated formation energy: -0.2589 eV per atom

Unit cell a=6.9512 b=6.9512 c=7.3425 alpha=90.00 beta=90.00 gamma=108.34
Fractional coordinates of all 11 atoms:
Sm: 0.0000 0.0000 0.0000
Sm: 0.0000 0.5000 0.2584
Sm: 0.0000 0.5000 0.7416
Sm: 0.5000 0.0000 0.2584
Sm: 0.5000 0.0000 0.7416
Sm: 0.5000 0.5000 0.2513
Sm: 0.5000 0.5000 0.7487
Cd: 0.1722 0.1722 0.5000
Cd: 0.8278 0.8278 0.5000
Pd: 0.2911 0.7089 0.0000
Pd: 0.7089 0.2911 0.0000

Record 4
VASP calculation (PBE) on crystalline Al3ClO at its relaxed geometry.

Computed properties:
* offset from the most stable computed form: 0 meV per atom
* E_form (uncorrected): -0.071 eV/atom
* E: -18.39 eV per cell
* volume: 19.1 Å³ per atom
* total moment: 0.0 μB/f.u.

Unit cell a=4.5690 b=4.5690 c=4.5690 alpha=90.00 beta=90.00 gamma=90.00
Fractional coordinates of all 5 atoms:
Al: 0.0000 0.0000 0.5000
Al: 0.0000 0.5000 0.0000
Al: 0.5000 0.0000 0.0000
Cl: 0.5000 0.5000 0.5000
O: 0.0000 0.0000 0.0000

Record 5
VASP calculation (PBE) on crystalline TaCrIn2P at its relaxed geometry.

Computed properties:
* E: -26.04 eV per cell
* volume: 22.7 Å³ per atom
* total moment: 0.2 μB/f.u.
* calculated formation energy: 1.2639 eV per atom

Unit cell a=4.9565 b=4.9565 c=4.6100 alpha=90.00 beta=90.00 gamma=90.00
Fractional coordinates of all 5 atoms:
Ta: 0.0000 0.0000 0.0000
Cr: 0.5000 0.5000 0.0000
In: 0.0000 0.5000 0.5000
In: 0.5000 0.0000 0.5000
P: 0.0000 0.0000 0.5000

Record 6
VASP calculation (PBE) on crystalline K5InAg6 at its relaxed geometry.

Computed properties:
* E: -23.88 eV per cell
* volume: 37.1 Å³ per atom
* total moment: 0.0 μB/f.u.
* calculated formation energy: 0.1211 eV per atom

Unit cell a=7.4454 b=7.4454 c=9.5980 alpha=96.82 beta=96.82 gamma=120.38
Fractional coordinates of all 12 atoms:
K: 0.0000 0.0000 0.0000
K: 0.1647 0.8353 0.5000
K: 0.3045 0.6955 0.0000
K: 0.6955 0.3045 0.0000
K: 0.8353 0.1647 0.5000
In: 0.5000 0.5000 0.5000
Ag: 0.1868 0.4209 0.2642
Ag: 0.3603 0.3603 0.7530
Ag: 0.4209 0.1868 0.2642
Ag: 0.5791 0.8132 0.7358
Ag: 0.6397 0.6397 0.2470
Ag: 0.8132 0.5791 0.7358

Number 1: DOS at the Fermi energy 2.23 states/eV/cell. Number 2: DOS at the Fermi energy 3.71 states/eV/cell. Number 3: DOS at the Fermi energy 12.10 states/eV/cell. Number 4: DOS at the Fermi energy 2.20 states/eV/cell. Number 5: DOS at the Fermi energy 4.23 states/eV/cell. Number 6: DOS at the Fermi energy 1.05 states/eV/cell.